# 1
CdIn2Te4 | PBE | relaxed

Results
Formation energy without anion corrections = -380 meV/atom
Space group = I-4, No. 82
Final energy = -3.088 eV/atom

Cell: 7.7847 7.7847 7.7847 Å, 131.57 131.57 70.91°
Last column: nearest neighbours and their distance in Å.
Fractional positions:
Cd  0.0000  0.0000  0.0000  4 Te 2.88
In  0.2500  0.7500  0.5000  4 Te 2.85
In  0.5000  0.5000  0.0000  4 Te 2.84
Te  0.0914  0.5870  0.9531  2 In 2.84-2.85, 1 Cd 2.88
Te  0.4130  0.3661  0.5044  2 In 2.84-2.85, 1 Cd 2.88
Te  0.6338  0.1382  0.0469  2 In 2.84-2.85, 1 Cd 2.88
Te  0.8618  0.9086  0.4956  2 In 2.84-2.85, 1 Cd 2.88

***

# 2
AcZnGaCu2 | PBE | relaxed

Results
Space group = I-4m2, No. 119
DOS(E_F) = 3.18 states/eV per cell
Energy relative to the elements = -0.29 eV/atom
Final energy = -3.613 eV/atom

Cell: 6.0999 6.0999 6.0999 Å, 138.46 138.46 60.20°
Last column: nearest neighbours and their distance in Å.
Fractional positions:
Ac  0.0000  0.0000  0.0000  8 Cu 3.32, 4 Zn 3.41, 4 Ga 3.41
Zn  0.2500  0.7500  0.5000  4 Cu 2.55
Ga  0.7500  0.2500  0.5000  4 Cu 2.55
Cu  0.3787  0.3787  0.0000  2 Zn 2.55, 2 Ga 2.55, 1 Cu 2.56
Cu  0.6213  0.6213  0.0000  2 Zn 2.55, 2 Ga 2.55, 1 Cu 2.56

***

# 3
Ba2TlAuO4 | PBE | relaxed

Results
Formation energy without anion corrections = -1291 meV/atom
Space group = I-4, No. 82
DOS(E_F) = 4.22 states/eV per cell
Final energy = -4.957 eV/atom

Cell: 5.8901 5.8901 5.8901 Å, 111.28 111.28 105.91°
Last column: nearest neighbours and their distance in Å.
Fractional positions:
Ba  0.0000  0.0000  0.0000  8 O 2.87-3.18
Ba  0.7500  0.2500  0.5000  4 O 2.60
Tl  0.5000  0.5000  0.0000  4 O 2.26
Au  0.2500  0.7500  0.5000  4 O 2.30
O  0.1360  0.5218  0.0338  1 Tl 2.26, 1 Au 2.30
O  0.4782  0.5120  0.6142  1 Tl 2.26, 1 Au 2.30
O  0.4880  0.1022  0.9662  1 Tl 2.26, 1 Au 2.30
O  0.8978  0.8640  0.3858  1 Tl 2.26, 1 Au 2.30

***

# 4
SrHf3Zn | PBE | relaxed

Results
Space group = Pm-3m, No. 221
DOS(E_F) = 6.74 states/eV per cell
Distance to the lowest polymorph of the same formula = 1.398 eV/atom
Energy relative to the elements = 2.14 eV/atom
Final energy = -4.424 eV/atom

Cell: 5.1234 5.1234 5.1234 Å, 90.00 90.00 90.00°
Last column: nearest neighbours and their distance in Å.
Fractional positions:
Sr  0.0000  0.0000  0.0000  6 Hf 2.56
Hf  0.0000  0.0000  0.5000  2 Sr 2.56
Hf  0.0000  0.5000  0.0000  2 Sr 2.56
Hf  0.5000  0.0000  0.0000  2 Sr 2.56
Zn  0.5000  0.5000  0.5000  12 Hf 3.62

***

# 5
LiTlCdPb2 | PBE | relaxed

Results
Space group = P4/mmm, No. 123
DOS(E_F) = 2.38 states/eV per cell
Energy relative to the elements = 0.46 eV/atom
Final energy = -2.061 eV/atom

Cell: 5.9218 5.9218 5.5412 Å, 90.00 90.00 90.00°
Last column: nearest neighbours and their distance in Å.
Fractional positions:
Li  0.0000  0.0000  0.0000  8 Pb 4.06, 4 Cd 4.19
Tl  0.5000  0.5000  0.5000  2 Cd 2.77, 4 Pb 2.96
Cd  0.5000  0.5000  0.0000  2 Tl 2.77
Pb  0.0000  0.5000  0.5000  2 Tl 2.96
Pb  0.5000  0.0000  0.5000  2 Tl 2.96

***

# 6
DySc2Ag | PBE | relaxed

Results
Space group = R3m, No. 160
DOS(E_F) = 6.54 states/eV per cell
Distance to the lowest polymorph of the same formula = 0.136 eV/atom
Energy relative to the elements = 0.03 eV/atom
Final energy = -4.998 eV/atom

Cell: 10.0660 10.0660 10.0660 Å, 19.51 19.51 19.51°
Last column: nearest neighbours and their distance in Å.
Fractional positions:
Dy  0.0000  0.0000  0.0000  6 Sc 3.35-3.39, 6 Dy 3.41
Sc  0.2416  0.2416  0.2416  3 Ag 2.94
Sc  0.4264  0.4264  0.4264  3 Ag 2.96
Ag  0.8346  0.8346  0.8346  6 Sc 2.94-2.96

***

# 7
Mg2Pb2Au | PBE | relaxed

Results
Space group = P4/mbm, No. 127
DOS(E_F) = 6.13 states/eV per cell
Distance to the lowest polymorph of the same formula = 0.000 eV/atom
Energy relative to the elements = -0.11 eV/atom
Final energy = -2.885 eV/atom

Cell: 7.1444 7.1444 4.9170 Å, 90.00 90.00 90.00°
Last column: nearest neighbours and their distance in Å.
Fractional positions:
Mg  0.1505  0.3495  0.0000  2 Au 2.72, 1 Mg 3.04
Mg  0.3495  0.8495  0.0000  2 Au 2.72, 1 Mg 3.04
Mg  0.6505  0.1505  0.0000  2 Au 2.72, 1 Mg 3.04
Mg  0.8495  0.6505  0.0000  2 Au 2.72, 1 Mg 3.04
Pb  0.1654  0.6654  0.5000  6 Mg 3.08-3.34, 1 Pb 3.34
Pb  0.3346  0.1654  0.5000  6 Mg 3.08-3.34, 1 Pb 3.34
Pb  0.6654  0.8346  0.5000  6 Mg 3.08-3.34, 1 Pb 3.34
Pb  0.8346  0.3346  0.5000  6 Mg 3.08-3.34, 1 Pb 3.34
Au  0.0000  0.0000  0.0000  4 Mg 2.72
Au  0.5000  0.5000  0.0000  4 Mg 2.72

***

# 8
Na2CdSn3 | PBE | relaxed

Results
Space group = Pmm2, No. 25
DOS(E_F) = 2.76 states/eV per cell
Energy relative to the elements = -0.15 eV/atom
Final energy = -2.741 eV/atom

Cell: 3.2146 5.3307 9.2340 Å, 90.00 90.00 90.00°
Last column: nearest neighbours and their distance in Å.
Fractional positions:
Na  0.0000  0.0000  0.0000  2 Na 3.21, 2 Cd 3.43, 10 Sn 3.47-3.54
Na  0.0000  0.5000  0.4948  2 Na 3.21, 8 Sn 3.41-3.51, 4 Cd 3.47
Cd  0.5000  0.0000  0.3287  3 Sn 3.04-3.05, 2 Cd 3.21
Sn  0.5000  0.0000  0.6586  1 Cd 3.05, 4 Sn 3.11-3.21
Sn  0.5000  0.5000  0.1697  2 Cd 3.04, 3 Sn 3.11-3.21, 2 Na 3.41
Sn  0.5000  0.5000  0.8327  5 Sn 3.11-3.21, 4 Na 3.47

***

# 9
KTaSi | PBE | relaxed

Results
Formation energy without anion corrections = 2409 meV/atom
Space group = F-43m, No. 216
DOS(E_F) = 6.71 states/eV per cell
Distance to the lowest polymorph of the same formula = 1.993 eV/atom
Final energy = -3.715 eV/atom

Cell: 4.8433 4.8433 4.8433 Å, 60.00 60.00 60.00°
Last column: nearest neighbours and their distance in Å.
Fractional positions:
K  0.0000  0.0000  0.0000  4 Ta 2.97, 4 Si 2.97
Ta  0.7500  0.7500  0.7500  4 K 2.97
Si  0.2500  0.2500  0.2500  4 K 2.97

***

# 10
Na2ScTa | PBE | relaxed

Results
Space group = Fm-3m, No. 225
DOS(E_F) = 4.74 states/eV per cell
Distance to the lowest polymorph of the same formula = 0.000 eV/atom
Energy relative to the elements = 1.20 eV/atom
Final energy = -4.003 eV/atom

Cell: 5.0714 5.0714 5.0714 Å, 60.00 60.00 60.00°
Last column: nearest neighbours and their distance in Å.
Fractional positions:
Na  0.2500  0.2500  0.2500  4 Ta 3.11, 4 Sc 3.11
Na  0.7500  0.7500  0.7500  4 Ta 3.11, 4 Sc 3.11
Sc  0.0000  0.0000  0.0000  8 Na 3.11
Ta  0.5000  0.5000  0.5000  8 Na 3.11

***

# 11
Mn2TlIr | PBE | relaxed

Results
Space group = Cm, No. 8
DOS(E_F) = 3.29 states/eV per cell
Distance to the lowest polymorph of the same formula = 0.101 eV/atom
Energy relative to the elements = 0.33 eV/atom
Final energy = -7.061 eV/atom

Cell: 4.9396 4.9396 4.7078 Å, 102.66 102.66 35.82°
Last column: nearest neighbours and their distance in Å.
Fractional positions:
Mn  0.0000  0.0000  0.0000  4 Ir 2.67-2.94, 3 Mn 2.80-2.85, 3 Tl 2.83-2.88
Mn  0.2446  0.2446  0.7543  3 Ir 2.67-2.92, 3 Mn 2.80-2.85, 4 Tl 2.80
Tl  0.7575  0.7575  0.2600  7 Mn 2.80-2.88, 3 Ir 2.88-2.91, 2 Tl 3.04
Ir  0.5118  0.5118  0.5385  7 Mn 2.67-2.94, 3 Tl 2.88-2.91

***

# 12
TbVCo | PBE | relaxed

Results
Space group = Fmmm, No. 69
DOS(E_F) = 8.35 states/eV per cell
Energy relative to the elements = 0.26 eV/atom
Final energy = -6.693 eV/atom

Cell: 6.1442 5.9695 4.7237 Å, 69.01 65.11 45.87°
Last column: nearest neighbours and their distance in Å.
Fractional positions:
Tb  0.2430  0.2430  0.7570  4 Co 2.83-3.15, 4 V 3.03-3.13
Tb  0.7570  0.7570  0.2430  4 Co 2.83-3.15, 4 V 3.03-3.13
V  0.2767  0.7233  0.2767  4 Co 2.36-2.39
V  0.7233  0.2767  0.7233  4 Co 2.36-2.39
Co  0.2206  0.7794  0.7794  4 V 2.36-2.39
Co  0.7794  0.2206  0.2206  4 V 2.36-2.39

***

# 13
MgTl2Sb | PBE | relaxed

Results
Formation energy without anion corrections = 76 meV/atom
Space group = R-3m, No. 166
DOS(E_F) = 3.04 states/eV per cell
Distance to the lowest polymorph of the same formula = 0.134 eV/atom
Final energy = -2.536 eV/atom

Cell: 11.0253 11.0253 11.0253 Å, 17.99 17.99 17.99°
Last column: nearest neighbours and their distance in Å.
Fractional positions:
Mg  0.0000  0.0000  0.0000  6 Tl 3.29, 6 Mg 3.45
Tl  0.2529  0.2529  0.2529  3 Mg 3.29, 3 Sb 3.44, 6 Tl 3.45
Tl  0.7471  0.7471  0.7471  3 Mg 3.29, 3 Sb 3.44, 6 Tl 3.45
Sb  0.5000  0.5000  0.5000  6 Tl 3.44, 6 Sb 3.45